Record 1
Crystalline Cr3ReO at its relaxed geometry, computed with PBE with a Hubbard U.

Cell and atoms, written as extended XYZ:
```
5
Lattice="4.1580 0.0000 0.0000 0.0000 4.1580 0.0000 0.0000 0.0000 4.1580" Properties=species:S:1:pos:R:3 pbc="T T T"
O 0.0000 0.0000 0.0000
Cr 0.0000 0.0000 2.0790
Re 2.0790 2.0790 2.0790
Cr 0.0000 2.0790 0.0000
Cr 2.0790 0.0000 0.0000
```

Results
Its symmetry is Pm-3m (221). The density of states at the Fermi level is 4.83 states/eV/f.u. For the total energy, the calculation gives -38.84 eV per formula unit.

=====

Record 2
Crystalline CrReO4 at its relaxed geometry, computed with PBE with a Hubbard U.

Cell and atoms, written as extended XYZ:
```
12
Lattice="4.6205 0.0000 0.0000 0.0000 5.6107 0.0345 0.0000 -2.2013 5.0945" Properties=species:S:1:pos:R:3 pbc="T T T"
Re 2.3103 2.8053 0.0173
O 0.8800 3.3298 3.4081
O 0.9608 1.5791 0.7635
O 3.6598 1.8303 4.3655
O 3.2711 -0.9750 4.3482
Cr 2.3103 -1.1007 2.5472
Cr 0.0000 1.7047 2.5645
O 3.7406 0.0796 1.7209
O 1.4303 0.5244 3.3908
O 3.1902 2.8849 1.7381
O 1.3495 4.3844 0.7808
Re 0.0000 0.0000 0.0000
```

Results
Its symmetry is P2_1/c (14). The density of states at the Fermi level is 2.21 states/eV/f.u. The polymorph energy (0 for the lowest one) is 49.8 meV per atom.